Record 1
This record from Alexandria via LeMat-Bulk describes a relaxed CaY3Er2Te6 crystal. The functional is PBE.

Lattice parameters (Å, degrees): 4.363 8.761 9.777 103.35 102.89 90.00
Positions (direct):
Te (0.003, 0.252, 0.007)
Te (0.668, 0.084, 0.336)
Te (0.332, 0.916, 0.664)
Te (0.666, 0.579, 0.332)
Te (0.997, 0.748, 0.993)
Te (0.334, 0.421, 0.668)
Y (0.835, 0.178, 0.671)
Y (0.165, 0.822, 0.329)
Y (0.500, 0.500, 0.000)
Ca (0.500, 0.000, 0.000)
Er (0.170, 0.341, 0.341)
Er (0.830, 0.659, 0.659)

energy relative to the elements, uncorrected = -1.329 eV/atom
DOS at the Fermi energy = 5.85 states/eV/cell
total moment = 0.00 Bohr magnetons per cell

Record 2
This record from Alexandria via LeMat-Bulk describes a relaxed CaY2ErTe4 crystal. The functional is PBE.

Lattice parameters (Å, degrees): 4.357 7.583 7.617 109.06 90.00 90.00
Positions (direct):
Y (0.000, 0.500, 0.500)
Y (0.500, 0.000, 0.500)
Te (0.500, 0.747, 0.750)
Te (0.000, 0.747, 0.248)
Te (0.000, 0.253, 0.752)
Te (0.500, 0.253, 0.250)
Er (0.500, 0.500, 0.000)
Ca (0.000, 0.000, 0.000)

energy relative to the elements, uncorrected = -1.361 eV/atom
DOS at the Fermi energy = 3.76 states/eV/cell
total moment = 0.00 Bohr magnetons per cell

Record 3
This record from Alexandria via LeMat-Bulk describes a relaxed Ca4YEr3Te8 crystal. The functional is PBE.

Lattice parameters (Å, degrees): 8.760 8.883 8.760 119.55 120.00 90.00
Positions (direct):
Y (0.000, 0.500, 0.000)
Te (0.751, 0.257, 0.005)
Te (0.751, 0.257, 0.502)
Te (0.249, 0.743, 0.498)
Te (0.746, 0.743, 0.995)
Te (0.253, 0.258, 0.505)
Te (0.254, 0.257, 0.005)
Te (0.747, 0.742, 0.495)
Te (0.249, 0.743, 0.995)
Ca (0.000, 0.000, 0.500)
Ca (0.500, 0.000, 0.000)
Ca (0.000, 0.000, 0.000)
Ca (0.500, 0.000, 0.500)
Er (0.500, 0.500, 0.500)
Er (0.000, 0.500, 0.500)
Er (0.500, 0.500, 0.000)

energy relative to the elements, uncorrected = -1.435 eV/atom
DOS at the Fermi energy = 6.00 states/eV/cell
total moment = 0.00 Bohr magnetons per cell

Record 4
This record from Alexandria via LeMat-Bulk describes a relaxed CaEr2Th crystal. The functional is PBE.

Lattice parameters (Å, degrees): 3.598 3.598 11.994 81.37 81.37 60.00
Positions (direct):
Ca (0.501, 0.501, 0.498)
Er (0.078, 0.078, 0.767)
Er (0.255, 0.255, 0.234)
Th (0.666, 0.666, 0.001)

DOS at the Fermi energy = 5.31 states/eV/cell
total moment = 0.00 Bohr magnetons per cell
DFT formation energy = 0.05 eV/atom

Record 5
This record from Alexandria via LeMat-Bulk describes a relaxed CaEr2Th crystal. The functional is PBE.

Lattice parameters (Å, degrees): 3.625 3.625 10.210 90.00 90.00 90.00
Positions (direct):
Ca (0.500, 0.500, 0.500)
Er (0.000, 0.000, 0.774)
Er (0.000, 0.000, 0.226)
Th (0.500, 0.500, 0.000)

DOS at the Fermi energy = 5.01 states/eV/cell
total moment = 0.00 Bohr magnetons per cell
DFT formation energy = 0.05 eV/atom

Record 6
This record from Alexandria via LeMat-Bulk describes a relaxed CaEr2Th crystal. The functional is PBE.

Lattice parameters (Å, degrees): 3.818 5.853 5.853 90.00 90.00 90.00
Positions (direct):
Er (0.000, 0.000, 0.500)
Er (0.000, 0.500, 0.000)
Th (0.500, 0.500, 0.500)
Ca (0.500, 0.000, 0.000)

DOS at the Fermi energy = 6.12 states/eV/cell
total moment = 0.00 Bohr magnetons per cell
DFT formation energy = 0.18 eV/atom

Record 7
This record from Alexandria via LeMat-Bulk describes a relaxed CaEr2Th crystal. The functional is PBE.

Lattice parameters (Å, degrees): 3.554 3.554 12.508 81.83 81.83 60.00
Positions (direct):
Th (0.500, 0.500, 0.500)
Ca (0.000, 0.000, 0.000)
Er (0.908, 0.908, 0.276)
Er (0.092, 0.092, 0.724)

DOS at the Fermi energy = 5.47 states/eV/cell
total moment = 0.00 Bohr magnetons per cell
DFT formation energy = 0.15 eV/atom

Record 8
This record from Alexandria via LeMat-Bulk describes a relaxed CaErTl4 crystal. The functional is PBE.

Lattice parameters (Å, degrees): 5.146 5.148 7.416 89.92 89.96 90.08
Positions (direct):
Ca (0.501, 0.497, 0.998)
Tl (0.001, 0.498, 0.263)
Tl (0.501, 0.998, 0.734)
Tl (0.502, 0.997, 0.263)
Tl (0.002, 0.497, 0.734)
Er (0.001, 0.997, 0.498)

DOS at the Fermi energy = 6.02 states/eV/cell
total moment = 0.00 Bohr magnetons per cell
DFT formation energy = 0.01 eV/atom

Record 9
This record from Alexandria via LeMat-Bulk describes a relaxed CaEr2Tl crystal. The functional is PBE.

Lattice parameters (Å, degrees): 4.837 4.895 4.895 90.00 90.00 90.00
Positions (direct):
Er (0.000, 0.500, 0.000)
Er (0.000, 0.000, 0.500)
Ca (0.500, 0.500, 0.500)
Tl (0.500, 0.000, 0.000)

DOS at the Fermi energy = 3.62 states/eV/cell
total moment = 0.19 Bohr magnetons per cell
DFT formation energy = -0.12 eV/atom

Record 10
This record from Alexandria via LeMat-Bulk describes a relaxed CaEr2Tl2 crystal. The functional is PBE.

Lattice parameters (Å, degrees): 6.164 6.161 9.629 66.88 66.89 68.19
Positions (direct):
Tl (0.223, 0.777, 0.000)
Tl (0.218, 0.782, 0.500)
Tl (0.777, 0.223, 0.000)
Tl (0.782, 0.218, 0.500)
Er (0.499, 0.499, 0.752)
Er (0.501, 0.501, 0.248)
Er (0.807, 0.807, 0.850)
Er (0.193, 0.193, 0.150)
Ca (0.804, 0.803, 0.344)
Ca (0.196, 0.197, 0.656)

DOS at the Fermi energy = 7.26 states/eV/cell
total moment = 0.00 Bohr magnetons per cell
DFT formation energy = -0.23 eV/atom

Record 11
This record from Alexandria via LeMat-Bulk describes a relaxed CaErTl2 crystal. The functional is PBE.

Lattice parameters (Å, degrees): 3.808 3.808 7.704 90.00 90.00 90.00
Positions (direct):
Tl (0.000, 0.000, 0.758)
Tl (0.000, 0.000, 0.242)
Ca (0.500, 0.500, 0.500)
Er (0.500, 0.500, 0.000)

DOS at the Fermi energy = 1.65 states/eV/cell
total moment = 0.00 Bohr magnetons per cell
DFT formation energy = -0.39 eV/atom

Record 12
This record from Alexandria via LeMat-Bulk describes a relaxed CaEr2Tl crystal. The functional is PBE.

Lattice parameters (Å, degrees): 5.531 5.531 5.529 59.99 59.99 60.00
Positions (direct):
Er (0.000, 0.000, 0.000)
Er (0.250, 0.250, 0.250)
Ca (0.500, 0.500, 0.500)
Tl (0.750, 0.750, 0.750)

DOS at the Fermi energy = 4.87 states/eV/cell
total moment = 0.00 Bohr magnetons per cell
DFT formation energy = 0.01 eV/atom

no.,raw total energy (eV/atom)
1,-5.444
2,-5.368
3,-4.766
4,-4.590
5,-4.589
6,-4.460
7,-4.489
8,-2.665
9,-3.497
10,-3.405
11,-3.210
12,-3.360